No. 1
## Y5Tl4Au (PBE)

Data for an optimized crystal structure of Y5Tl4Au.

Cell: 3.613 3.613 20.197 Å, 90.00 90.00 90.00°
Fractional coordinates of all 10 atoms:
Y: 0.000 0.000 0.000
Y: 0.000 0.000 0.206
Y: 0.000 0.000 0.413
Y: 0.000 0.000 0.587
Y: 0.000 0.000 0.794
Tl: 0.500 0.500 0.103
Tl: 0.500 0.500 0.309
Tl: 0.500 0.500 0.691
Tl: 0.500 0.500 0.897
Au: 0.500 0.500 0.500

Results
The value obtained for the total magnetic moment is 0.003 μB per atom. The space-group type is No. 123. The value obtained for the total energy is -49.75 eV for the cell shown.



No. 2
## TlZnAu2 (PBE)

Data for an optimized crystal structure of TlZnAu2.

Cell: 4.838 4.838 4.838 Å, 60.00 60.00 60.00°
Fractional coordinates of all 4 atoms:
Tl: 0.000 0.000 0.000
Zn: 0.250 0.250 0.250
Au: 0.500 0.500 0.500
Au: 0.750 0.750 0.750

Results
The space-group type is No. 216. The value obtained for the total energy is -9.80 eV for the cell shown.



No. 3
## TlZn2Au (PBE)

Data for an optimized crystal structure of TlZn2Au.

Cell: 4.853 4.853 4.853 Å, 60.00 60.00 60.00°
Fractional coordinates of all 4 atoms:
Tl: 0.000 0.000 0.000
Zn: 0.500 0.500 0.500
Zn: 0.750 0.750 0.750
Au: 0.250 0.250 0.250

Results
The space-group type is No. 216. The value obtained for the total energy is -7.57 eV for the cell shown.



No. 4
## Zr6TlAu (PBE)

Data for an optimized crystal structure of Zr6TlAu.

Cell: 5.581 5.581 5.581 Å, 90.00 90.00 90.00°
Fractional coordinates of all 8 atoms:
Zr: 0.000 0.246 0.500
Zr: 0.000 0.754 0.500
Zr: 0.246 0.500 0.000
Zr: 0.500 0.000 0.246
Zr: 0.500 0.000 0.754
Zr: 0.754 0.500 0.000
Tl: 0.500 0.500 0.500
Au: 0.000 0.000 0.000

Results
The value obtained for the total magnetic moment is 0.001 μB per atom. The space-group type is No. 200. The value obtained for the total energy is -58.83 eV for the cell shown.



No. 5
## TmW4Au2 (PBE)

Data for an optimized crystal structure of TmW4Au2.

Cell: 3.153 3.153 15.361 Å, 96.43 96.43 60.36°
Fractional coordinates of all 7 atoms:
Tm: 0.000 0.000 0.000
W: 0.079 0.079 0.305
W: 0.289 0.289 0.838
W: 0.458 0.458 0.421
W: 0.914 0.914 0.720
Au: 0.188 0.188 0.571
Au: 0.696 0.696 0.156

Results
The value obtained for the total magnetic moment is 0.000 μB per atom. Its energy of formation from the pure elements is 0.408 eV per atom. The space-group type is No. 8. The value obtained for the total energy is -59.99 eV for the cell shown.



No. 6
## YTmAu6 (PBE)

Data for an optimized crystal structure of YTmAu6.

Cell: 5.021 6.145 5.128 Å, 90.00 90.00 90.00°
Fractional coordinates of all 8 atoms:
Y: 0.000 0.000 0.000
Tm: 0.500 0.500 0.313
Au: 0.000 0.259 0.495
Au: 0.000 0.500 0.994
Au: 0.000 0.741 0.495
Au: 0.500 0.000 0.326
Au: 0.500 0.248 0.819
Au: 0.500 0.752 0.819

Results
The value obtained for the total magnetic moment is 0.000 μB per atom. Its energy of formation from the pure elements is -0.723 eV per atom. The space-group type is No. 25. The value obtained for the total energy is -36.33 eV for the cell shown.



No. 7
## YTmAu4 (PBE)

Data for an optimized crystal structure of YTmAu4.

Cell: 3.714 3.714 9.035 Å, 90.00 90.00 90.00°
Fractional coordinates of all 6 atoms:
Y: 0.000 0.000 0.000
Tm: 0.500 0.500 0.500
Au: 0.000 0.000 0.338
Au: 0.000 0.000 0.662
Au: 0.500 0.500 0.168
Au: 0.500 0.500 0.832

Results
The value obtained for the total magnetic moment is 0.001 μB per atom. Its energy of formation from the pure elements is -0.876 eV per atom. The space-group type is No. 123. The value obtained for the total energy is -29.26 eV for the cell shown.



No. 8
## YTmZn2Au4 (PBE)

Data for an optimized crystal structure of YTmZn2Au4.

Cell: 4.810 4.810 6.815 Å, 90.00 90.00 90.00°
Fractional coordinates of all 8 atoms:
Y: 0.000 0.000 0.000
Tm: 0.500 0.500 0.500
Zn: 0.000 0.000 0.500
Zn: 0.500 0.500 0.000
Au: 0.000 0.500 0.255
Au: 0.000 0.500 0.745
Au: 0.500 0.000 0.255
Au: 0.500 0.000 0.745

Results
The value obtained for the total magnetic moment is 0.000 μB per atom. Its energy of formation from the pure elements is -0.643 eV per atom. The space-group type is No. 123. The value obtained for the total energy is -31.68 eV for the cell shown.



No. 9
## Tm3Zn2Au (PBE)

Data for an optimized crystal structure of Tm3Zn2Au.

Cell: 3.539 3.539 10.483 Å, 90.00 90.00 90.00°
Fractional coordinates of all 6 atoms:
Tm: 0.000 0.000 0.000
Tm: 0.000 0.000 0.332
Tm: 0.000 0.000 0.668
Zn: 0.500 0.500 0.161
Zn: 0.500 0.500 0.839
Au: 0.500 0.500 0.500

Results
The value obtained for the total magnetic moment is 0.001 μB per atom. Its energy of formation from the pure elements is -0.543 eV per atom. The space-group type is No. 123. The value obtained for the total energy is -22.48 eV for the cell shown.



No. 10
## TmZn2Au2 (PBE)

Data for an optimized crystal structure of TmZn2Au2.

Cell: 6.178 6.178 6.178 Å, 139.97 139.97 57.90°
Fractional coordinates of all 5 atoms:
Tm: 0.000 0.000 0.000
Zn: 0.391 0.391 0.000
Zn: 0.609 0.609 0.000
Au: 0.250 0.750 0.500
Au: 0.750 0.250 0.500

Results
The value obtained for the total magnetic moment is 0.000 μB per atom. Its energy of formation from the pure elements is -0.406 eV per atom. The space-group type is No. 139. The value obtained for the total energy is -15.57 eV for the cell shown.



No. 11
## TmZrAu (PBE)

Data for an optimized crystal structure of TmZrAu.

Cell: 4.690 4.690 4.690 Å, 60.00 60.00 60.00°
Fractional coordinates of all 3 atoms:
Tm: 0.000 0.000 0.000
Zr: 0.750 0.750 0.750
Au: 0.500 0.500 0.500

Results
The value obtained for the total magnetic moment is 0.000 μB per atom. The energy above the most stable polymorph in this dataset comes out at 379 meV/atom. Its energy of formation from the pure elements is 0.309 eV per atom. The space-group type is No. 216. The value obtained for the total energy is -15.36 eV for the cell shown.



No. 12
## TmZrAu6 (PBE)

Data for an optimized crystal structure of TmZrAu6.

Cell: 4.944 6.129 5.051 Å, 90.00 90.00 90.00°
Fractional coordinates of all 8 atoms:
Tm: 0.000 0.000 0.000
Zr: 0.500 0.500 0.686
Au: 0.000 0.260 0.505
Au: 0.000 0.500 0.998
Au: 0.000 0.740 0.505
Au: 0.500 0.000 0.674
Au: 0.500 0.252 0.179
Au: 0.500 0.748 0.179

Results
The value obtained for the total magnetic moment is 0.000 μB per atom. Its energy of formation from the pure elements is -0.619 eV per atom. The space-group type is No. 25. The value obtained for the total energy is -37.58 eV for the cell shown.